# 1
{"formula": "YScOs", "functional": "GGA-PBEsol", "state": "relaxed", "lattice": [[-2.296, -1.942, -1.237], [3.072, -0.249, -1.037], [1.310, -4.747, 5.021]], "species": ["Os", "Sc", "Y"], "frac_coords": [[0.000, 0.000, 0.988], [0.333, 0.667, 0.723], [0.667, 0.333, 0.289]], "final_energy_ev_per_cell": -25.18, "e_form_ev_per_atom": 0.1534, "total_magnetization_mub_per_cell": 0.00, "dos_at_fermi_per_ev_cell": 3.65}

# 2
{"formula": "YSc2Os", "functional": "GGA-PBEsol", "state": "relaxed", "lattice": [[-3.123, 1.294, -0.083], [-1.537, -3.521, 2.960], [3.440, 4.052, 2.633]], "species": ["Os", "Sc", "Sc", "Y"], "frac_coords": [[0.743, 0.243, 0.485], [0.050, 0.050, 0.099], [0.249, 0.749, 0.499], [0.458, 0.458, 0.916]], "final_energy_ev_per_cell": -32.94, "e_form_ev_per_atom": -0.1725, "total_magnetization_mub_per_cell": 0.00, "dos_at_fermi_per_ev_cell": 3.10}

# 3
{"formula": "YScOs2", "functional": "GGA-PBEsol", "state": "relaxed", "lattice": [[-1.742, -1.542, -2.144], [-0.029, -3.730, 2.707], [-3.199, 4.239, 1.883]], "species": ["Os", "Os", "Sc", "Y"], "frac_coords": [[0.019, 0.019, 0.038], [0.735, 0.235, 0.471], [0.486, 0.486, 0.972], [0.260, 0.760, 0.520]], "final_energy_ev_per_cell": -38.27, "e_form_ev_per_atom": -0.1033, "total_magnetization_mub_per_cell": 0.00, "dos_at_fermi_per_ev_cell": 1.39}

# 4
{"formula": "YSc2Os", "functional": "GGA-PBEsol", "state": "relaxed", "lattice": [[-0.990, 2.249, 2.288], [2.310, -2.604, 3.559], [3.618, 2.877, -3.725]], "species": ["Y", "Sc", "Sc", "Os"], "frac_coords": [[0.500, 0.000, 0.000], [0.702, 0.702, 0.405], [0.298, 0.298, 0.595], [0.000, 0.500, 0.000]], "final_energy_ev_per_cell": -33.16, "e_form_ev_per_atom": -0.2280, "total_magnetization_mub_per_cell": 0.00, "dos_at_fermi_per_ev_cell": 3.66}

# 5
{"formula": "YScOs", "functional": "GGA-PBEsol", "state": "relaxed", "lattice": [[3.263, 0.000, 0.000], [0.000, 3.263, 0.000], [-1.631, -1.631, 6.146]], "species": ["Y", "Sc", "Os"], "frac_coords": [[0.367, 0.367, 0.734], [0.625, 0.625, 0.251], [0.008, 0.008, 0.015]], "final_energy_ev_per_cell": -26.45, "e_form_ev_per_atom": -0.2701, "total_magnetization_mub_per_cell": 0.00, "dos_at_fermi_per_ev_cell": 1.22}

# 6
{"formula": "YSc2Os", "functional": "GGA-PBEsol", "state": "relaxed", "lattice": [[3.215, 0.000, 0.000], [0.000, 3.215, 0.000], [0.000, 0.000, 8.443]], "species": ["Y", "Sc", "Sc", "Os"], "frac_coords": [[0.500, 0.500, 0.000], [0.000, 0.000, 0.680], [0.000, 0.000, 0.320], [0.500, 0.500, 0.500]], "final_energy_ev_per_cell": -33.19, "e_form_ev_per_atom": -0.2361, "total_magnetization_mub_per_cell": 0.00, "dos_at_fermi_per_ev_cell": 3.29}

# 7
{"formula": "Sc2ZnOs", "functional": "GGA-PBEsol", "state": "relaxed", "lattice": [[-2.589, -0.531, -1.872], [0.860, -3.107, -0.309], [-3.515, -1.499, 5.286]], "species": ["Sc", "Sc", "Zn", "Os"], "frac_coords": [[0.000, 0.000, 0.733], [0.000, 0.000, 0.267], [0.500, 0.500, 0.000], [0.500, 0.500, 0.500]], "final_energy_ev_per_cell": -28.83, "e_form_ev_per_atom": -0.4564, "total_magnetization_mub_per_cell": 0.00, "dos_at_fermi_per_ev_cell": 2.46}

# 8
{"formula": "Sc2ZnOs", "functional": "GGA-PBEsol", "state": "relaxed", "lattice": [[4.559, 0.000, 0.000], [2.279, 3.948, 0.000], [2.279, 1.316, 3.722]], "species": ["Sc", "Sc", "Zn", "Os"], "frac_coords": [[0.250, 0.250, 0.250], [0.750, 0.750, 0.750], [0.500, 0.500, 0.500], [0.000, 0.000, 0.000]], "final_energy_ev_per_cell": -28.75, "e_form_ev_per_atom": -0.4347, "total_magnetization_mub_per_cell": 0.00, "dos_at_fermi_per_ev_cell": 2.08}

# 9
{"formula": "Sc4ZnOs", "functional": "GGA-PBEsol", "state": "relaxed", "lattice": [[-5.211, -1.241, 0.465], [-1.482, -4.423, 2.675], [-2.452, 0.435, 4.765]], "species": ["Os", "Sc", "Sc", "Sc", "Sc", "Zn"], "frac_coords": [[0.000, 0.000, 0.000], [0.373, 0.373, 0.373], [0.373, 0.373, 0.882], [0.882, 0.373, 0.373], [0.373, 0.882, 0.373], [0.750, 0.750, 0.750]], "final_energy_ev_per_cell": -37.30, "e_form_ev_per_atom": 0.4857, "total_magnetization_mub_per_cell": 0.00, "dos_at_fermi_per_ev_cell": 8.23}

# 10
{"formula": "ZrSc2Os", "functional": "GGA-PBEsol", "state": "relaxed", "lattice": [[3.276, 0.000, 0.000], [0.000, 4.715, 0.000], [-1.638, -2.357, 5.001]], "species": ["Sc", "Sc", "Os", "Zr"], "frac_coords": [[0.713, 0.713, 0.426], [0.287, 0.287, 0.574], [0.000, 0.500, 0.000], [0.500, 0.000, 0.000]], "final_energy_ev_per_cell": -35.72, "e_form_ev_per_atom": -0.3005, "total_magnetization_mub_per_cell": 0.00, "dos_at_fermi_per_ev_cell": 3.27}

# 11
{"formula": "ZrSc2Os", "functional": "GGA-PBEsol", "state": "relaxed", "lattice": [[-2.637, -1.937, -0.517], [2.672, -3.889, 0.935], [-1.196, 3.247, 4.551]], "species": ["Sc", "Sc", "Os", "Zr"], "frac_coords": [[0.961, 0.461, 0.923], [0.752, 0.752, 0.503], [0.247, 0.247, 0.495], [0.540, 0.040, 0.079]], "final_energy_ev_per_cell": -35.66, "e_form_ev_per_atom": -0.2860, "total_magnetization_mub_per_cell": 0.00, "dos_at_fermi_per_ev_cell": 3.41}

# 12
{"formula": "ZrScOs2", "functional": "GGA-PBEsol", "state": "relaxed", "lattice": [[-2.317, 2.197, -0.286], [-2.498, -2.993, -2.756], [0.464, -1.197, 5.015]], "species": ["Os", "Os", "Sc", "Zr"], "frac_coords": [[0.752, 0.752, 0.504], [0.248, 0.248, 0.496], [0.000, 0.500, 0.000], [0.500, 0.000, 0.000]], "final_energy_ev_per_cell": -40.61, "e_form_ev_per_atom": -0.1205, "total_magnetization_mub_per_cell": 0.00, "dos_at_fermi_per_ev_cell": 2.93}

# 13
{"formula": "ZrScOs2", "functional": "GGA-PBEsol", "state": "relaxed", "lattice": [[-1.531, 2.161, -1.092], [-2.051, -0.529, -1.929], [-7.620, -0.424, 6.089]], "species": ["Os", "Os", "Sc", "Zr"], "frac_coords": [[0.008, 0.008, 0.977], [0.745, 0.745, 0.765], [0.492, 0.492, 0.525], [0.256, 0.256, 0.233]], "final_energy_ev_per_cell": -39.16, "e_form_ev_per_atom": 0.2420, "total_magnetization_mub_per_cell": 0.00, "dos_at_fermi_per_ev_cell": 3.69}

# 14
{"formula": "ZrScOs2", "functional": "GGA-PBEsol", "state": "relaxed", "lattice": [[-2.666, 1.413, -1.091], [-0.535, -3.290, -2.953], [-0.933, -1.441, 5.133]], "species": ["Os", "Os", "Sc", "Zr"], "frac_coords": [[0.995, 0.995, 0.990], [0.257, 0.757, 0.513], [0.507, 0.507, 0.014], [0.742, 0.242, 0.484]], "final_energy_ev_per_cell": -41.23, "e_form_ev_per_atom": -0.2750, "total_magnetization_mub_per_cell": 0.00, "dos_at_fermi_per_ev_cell": 3.35}

# 15
{"formula": "ZrScOs2", "functional": "GGA-PBEsol", "state": "relaxed", "lattice": [[-1.100, 2.131, -2.139], [-3.291, -2.889, -1.186], [-2.710, 1.785, 3.171]], "species": ["Sc", "Os", "Os", "Zr"], "frac_coords": [[0.500, 0.500, 0.500], [0.000, 0.000, 0.500], [0.000, 0.500, 0.000], [0.500, 0.000, 0.000]], "final_energy_ev_per_cell": -42.04, "e_form_ev_per_atom": -0.4783, "total_magnetization_mub_per_cell": 0.00, "dos_at_fermi_per_ev_cell": 2.79}

# 16
{"formula": "ZrScOs2", "functional": "GGA-PBEsol", "state": "relaxed", "lattice": [[-0.687, -1.796, -4.080], [2.713, -3.271, -1.510], [-1.548, -4.220, -0.375]], "species": ["Os", "Os", "Sc", "Zr"], "frac_coords": [[0.000, 0.000, 0.000], [0.250, 0.250, 0.250], [0.500, 0.500, 0.500], [0.750, 0.750, 0.750]], "final_energy_ev_per_cell": -40.52, "e_form_ev_per_atom": -0.0974, "total_magnetization_mub_per_cell": 0.00, "dos_at_fermi_per_ev_cell": 2.85}

# 17
{"formula": "ZrScOs2", "functional": "GGA-PBEsol", "state": "relaxed", "lattice": [[-2.413, 3.691, 1.066], [-1.663, 0.490, 4.193], [1.749, 3.128, 2.783]], "species": ["Sc", "Os", "Os", "Zr"], "frac_coords": [[0.500, 0.500, 0.500], [0.250, 0.250, 0.250], [0.750, 0.750, 0.750], [0.000, 0.000, 0.000]], "final_energy_ev_per_cell": -42.06, "e_form_ev_per_atom": -0.4840, "total_magnetization_mub_per_cell": 0.00, "dos_at_fermi_per_ev_cell": 2.74}

# 18
{"formula": "Os2Se", "functional": "GGA-PBEsol", "state": "relaxed", "lattice": [[-0.551, -2.775, 1.064], [3.066, -1.419, -2.112], [2.438, 0.694, 3.074]], "species": ["Os", "Os", "Se"], "frac_coords": [[0.500, 0.000, 0.500], [0.500, 0.500, 0.000], [0.000, 0.000, 0.000]], "final_energy_ev_per_cell": -24.48, "total_magnetization_mub_per_cell": 0.00, "dos_at_fermi_per_ev_cell": 3.19, "e_form_raw_ev_per_atom": 1.268}

# 19
{"formula": "Os2Se", "functional": "GGA-PBEsol", "state": "relaxed", "lattice": [[-2.552, 0.951, -0.838], [1.939, -0.773, -1.939], [-2.221, -5.857, 0.115]], "species": ["Os", "Os", "Se"], "frac_coords": [[0.333, 0.667, 0.337], [0.667, 0.333, 0.663], [0.000, 0.000, 0.000]], "final_energy_ev_per_cell": -26.82, "total_magnetization_mub_per_cell": 0.00, "dos_at_fermi_per_ev_cell": 1.64, "e_form_raw_ev_per_atom": 0.487}

# 20
{"formula": "OsSe3", "functional": "GGA-PBEsol", "state": "relaxed", "lattice": [[-2.672, -3.210, 1.788], [1.478, -4.287, 0.283], [1.004, -1.794, 4.052]], "species": ["Os", "Se", "Se", "Se"], "frac_coords": [[0.000, 0.000, 0.000], [0.250, 0.250, 0.250], [0.500, 0.500, 0.500], [0.750, 0.750, 0.750]], "final_energy_ev_per_cell": -20.66, "total_magnetization_mub_per_cell": 0.00, "dos_at_fermi_per_ev_cell": 3.47, "e_form_raw_ev_per_atom": 0.777}

# 21
{"formula": "Os4Se", "functional": "GGA-PBEsol", "state": "relaxed", "lattice": [[3.885, 0.000, 0.000], [1.942, 4.319, 0.000], [1.942, 0.000, 4.319]], "species": ["Os", "Os", "Os", "Os", "Se"], "frac_coords": [[0.601, 0.213, 0.584], [0.814, 0.584, 0.787], [0.399, 0.787, 0.416], [0.186, 0.416, 0.213], [0.000, 0.000, 0.000]], "final_energy_ev_per_cell": -49.34, "total_magnetization_mub_per_cell": 0.00, "dos_at_fermi_per_ev_cell": 4.17, "e_form_raw_ev_per_atom": 0.676}

# 22
{"formula": "OsSe2", "functional": "GGA-PBEsol", "state": "relaxed", "lattice": [[4.393, 0.000, 0.000], [-2.196, 3.804, 0.000], [0.000, 0.000, 5.887]], "species": ["Os", "Os", "Se", "Se", "Se", "Se"], "frac_coords": [[0.667, 0.333, 0.750], [0.333, 0.667, 0.250], [0.000, 0.000, 0.000], [0.000, 0.000, 0.500], [0.667, 0.333, 0.250], [0.333, 0.667, 0.750]], "final_energy_ev_per_cell": -34.95, "total_magnetization_mub_per_cell": 0.00, "dos_at_fermi_per_ev_cell": 4.65, "e_form_raw_ev_per_atom": 0.814}

# 23
{"formula": "OsSe2", "functional": "GGA-PBEsol", "state": "relaxed", "lattice": [[-0.382, -1.598, 5.706], [-0.842, -5.645, -1.637], [5.865, -0.915, 0.137]], "species": ["Os", "Os", "Os", "Os", "Se", "Se", "Se", "Se", "Se", "Se", "Se", "Se"], "frac_coords": [[0.000, 0.000, 0.000], [0.500, 0.000, 0.500], [0.000, 0.500, 0.500], [0.500, 0.500, 0.000], [0.377, 0.377, 0.377], [0.123, 0.623, 0.877], [0.623, 0.877, 0.123], [0.877, 0.123, 0.623], [0.623, 0.623, 0.623], [0.877, 0.377, 0.123], [0.377, 0.123, 0.877], [0.123, 0.877, 0.377]], "final_energy_ev_per_cell": -82.66, "total_magnetization_mub_per_cell": 0.00, "dos_at_fermi_per_ev_cell": 5.66, "e_form_raw_ev_per_atom": -0.249}

# 24
{"formula": "Os4Se", "functional": "GGA-PBEsol", "state": "relaxed", "lattice": [[-0.939, -3.758, 2.778], [-1.553, -0.867, -4.423], [4.703, 0.774, -0.090]], "species": ["Os", "Os", "Os", "Os", "Se"], "frac_coords": [[0.000, 0.000, 0.500], [0.000, 0.500, 0.000], [0.500, 0.000, 0.000], [0.500, 0.500, 0.500], [0.000, 0.000, 0.000]], "final_energy_ev_per_cell": -44.27, "total_magnetization_mub_per_cell": 0.00, "dos_at_fermi_per_ev_cell": 6.77, "e_form_raw_ev_per_atom": 1.688}

# 25
{"formula": "Si2OsSe", "functional": "GGA-PBEsol", "state": "relaxed", "lattice": [[4.357, 0.000, 0.000], [2.179, 3.773, 0.000], [2.179, 1.258, 3.558]], "species": ["Os", "Se", "Si", "Si"], "frac_coords": [[0.500, 0.500, 0.500], [0.250, 0.250, 0.250], [0.000, 0.000, 0.000], [0.750, 0.750, 0.750]], "final_energy_ev_per_cell": -25.81, "total_magnetization_mub_per_cell": 0.00, "dos_at_fermi_per_ev_cell": 2.25, "e_form_raw_ev_per_atom": 0.438}

# 26
{"formula": "Si2OsSe", "functional": "GGA-PBEsol", "state": "relaxed", "lattice": [[4.224, 0.000, 0.000], [0.000, 4.282, -0.001], [0.000, -2.028, 3.772]], "species": ["Os", "Se", "Si", "Si"], "frac_coords": [[0.000, 0.547, 0.453], [0.500, 0.345, 0.655], [0.000, 0.905, 0.095], [0.500, 0.700, 0.300]], "final_energy_ev_per_cell": -27.44, "total_magnetization_mub_per_cell": 0.00, "dos_at_fermi_per_ev_cell": 1.11, "e_form_raw_ev_per_atom": 0.031}

# 27
{"formula": "SiOs3Se", "functional": "GGA-PBEsol", "state": "relaxed", "lattice": [[-2.147, 3.789, -0.489], [-0.067, -0.598, -4.341], [-3.820, -2.119, 0.351]], "species": ["Si", "Os", "Os", "Os", "Se"], "frac_coords": [[0.000, 0.000, 0.000], [0.000, 0.500, 0.000], [0.000, 0.000, 0.500], [0.500, 0.000, 0.000], [0.500, 0.500, 0.500]], "final_energy_ev_per_cell": -38.57, "total_magnetization_mub_per_cell": 0.00, "dos_at_fermi_per_ev_cell": 4.24, "e_form_raw_ev_per_atom": 1.535}

# 28
{"formula": "SiOs4Se", "functional": "GGA-PBEsol", "state": "relaxed", "lattice": [[5.148, 0.000, 0.000], [2.574, 4.458, 0.000], [2.574, 1.486, 4.203]], "species": ["Os", "Os", "Os", "Os", "Se", "Si"], "frac_coords": [[0.375, 0.375, 0.375], [0.375, 0.375, 0.875], [0.875, 0.375, 0.375], [0.375, 0.875, 0.375], [0.750, 0.750, 0.750], [0.000, 0.000, 0.000]], "final_energy_ev_per_cell": -50.96, "total_magnetization_mub_per_cell": 0.00, "dos_at_fermi_per_ev_cell": 9.88, "e_form_raw_ev_per_atom": 1.249}

# 29
{"formula": "Sr2OsSe", "functional": "GGA-PBEsol", "state": "relaxed", "lattice": [[3.556, 0.000, 0.000], [0.000, 5.290, 0.000], [0.000, 0.000, 5.290]], "species": ["Os", "Se", "Sr", "Sr"], "frac_coords": [[0.000, 0.500, 0.500], [0.000, 0.000, 0.000], [0.500, 0.500, 0.000], [0.500, 0.000, 0.500]], "final_energy_ev_per_cell": -19.89, "total_magnetization_mub_per_cell": 1.70, "dos_at_fermi_per_ev_cell": 4.16, "e_form_raw_ev_per_atom": -0.037}

# 30
{"formula": "TaOs2Se", "functional": "GGA-PBEsol", "state": "relaxed", "lattice": [[-2.811, -0.431, -0.774], [0.876, -4.301, -0.785], [0.254, -0.533, 4.985]], "species": ["Os", "Os", "Se", "Ta"], "frac_coords": [[0.006, 0.965, 0.012], [0.279, 0.789, 0.559], [0.489, 0.497, 0.979], [0.725, 0.249, 0.451]], "final_energy_ev_per_cell": -39.93, "total_magnetization_mub_per_cell": 0.00, "dos_at_fermi_per_ev_cell": 2.32, "e_form_raw_ev_per_atom": 0.226}